[1]
# GGA-PBE PaPRuN, optimized geometry
# Formation energy without anion corrections   -521 kJ/mol of formula units
# Fermi-level density of states   6.14 states/eV/cell
data_PaPRuN
_symmetry_space_group_name_H-M 'P 4/n m m'
_symmetry_Int_Tables_number 129
_cell_length_a 3.984
_cell_length_b 3.984
_cell_length_c 7.791
_cell_angle_alpha 90.00
_cell_angle_beta 90.00
_cell_angle_gamma 90.00
loop_
_symmetry_equiv_pos_as_xyz
'x,y,z'
'-x,-y,-z'
'-y+1/2,x,z'
'y+1/2,-x,-z'
'-x+1/2,-y+1/2,z'
'x+1/2,y+1/2,-z'
'y,-x+1/2,z'
'-y,x+1/2,-z'
'x+1/2,-y,-z'
'-x+1/2,y,z'
'-y,-x,-z'
'y,x,z'
'-x,y+1/2,-z'
'x,-y+1/2,z'
'y+1/2,x+1/2,-z'
'-y+1/2,-x+1/2,z'
loop_
_atom_site_label
_atom_site_fract_x
_atom_site_fract_y
_atom_site_fract_z
_atom_site_occupancy
Pa1 0.250 0.250 0.148 1
P1 0.250 0.250 0.655 1
Ru1 0.250 0.750 0.500 1
N1 0.250 0.750 0.000 1



[2]
# GGA-PBE NaBiBr4, optimized geometry
# Formation energy without anion corrections   -582 kJ/mol of formula units
# Fermi-level density of states   0.00 states/eV/cell
data_NaBiBr4
_symmetry_space_group_name_H-M 'C 1 2/m 1'
_symmetry_Int_Tables_number 12
_cell_length_a 16.123
_cell_length_b 4.277
_cell_length_c 7.583
_cell_angle_alpha 90.00
_cell_angle_beta 117.19
_cell_angle_gamma 90.00
loop_
_symmetry_equiv_pos_as_xyz
'x,y,z'
'-x,-y,-z'
'-x,y,-z'
'x,-y,z'
'x+1/2,y+1/2,z'
'-x+1/2,-y+1/2,-z'
'-x+1/2,y+1/2,-z'
'x+1/2,-y+1/2,z'
loop_
_atom_site_label
_atom_site_fract_x
_atom_site_fract_y
_atom_site_fract_z
_atom_site_occupancy
Na1 0.000 0.000 0.000 1
Bi1 0.000 0.500 0.500 1
Br1 0.106 0.500 0.919 1
Br2 0.117 0.000 0.467 1



[3]
# GGA-PBE KBeCr2, optimized geometry
# DFT formation energy   1.540 eV/atom
# Fermi-level density of states   17.45 states/eV/cell
data_KBeCr2
_symmetry_space_group_name_H-M 'F -4 3 m'
_symmetry_Int_Tables_number 216
_symmetry_space_group_name_Hall 'F -4 2 3'
_cell_length_a 6.956
_cell_length_b 6.956
_cell_length_c 6.956
_cell_angle_alpha 90.00
_cell_angle_beta 90.00
_cell_angle_gamma 90.00
loop_
_atom_site_label
_atom_site_fract_x
_atom_site_fract_y
_atom_site_fract_z
_atom_site_occupancy
K1 0.000 0.000 0.000 1
Be1 0.250 0.250 0.750 1
Cr1 0.000 0.000 0.500 1
Cr2 0.250 0.250 0.250 1



[4]
# GGA-PBE Hf2TiCr2, optimized geometry
# DFT formation energy   0.224 eV/atom
# Fermi-level density of states   16.68 states/eV/cell
data_Hf2TiCr2
_symmetry_space_group_name_H-M 'P 4/m b m'
_symmetry_Int_Tables_number 127
_symmetry_space_group_name_Hall '-P 4 2ab'
_cell_length_a 7.133
_cell_length_b 7.133
_cell_length_c 3.411
_cell_angle_alpha 90.00
_cell_angle_beta 90.00
_cell_angle_gamma 90.00
loop_
_atom_site_label
_atom_site_fract_x
_atom_site_fract_y
_atom_site_fract_z
_atom_site_occupancy
Hf1 0.192 0.308 0.000 1
Ti1 0.000 0.000 0.500 1
Cr1 0.102 0.602 0.500 1



[5]
# GGA-PBE LaAsBr2, optimized geometry
# Formation energy without anion corrections   -372 kJ/mol of formula units
# Fermi-level density of states   0.23 states/eV/cell
data_LaAsBr2
_symmetry_space_group_name_H-M 'I -4 2 d'
_symmetry_Int_Tables_number 122
_symmetry_space_group_name_Hall 'I -4 2bw'
_cell_length_a 4.769
_cell_length_b 4.769
_cell_length_c 20.458
_cell_angle_alpha 90.00
_cell_angle_beta 90.00
_cell_angle_gamma 90.00
loop_
_atom_site_label
_atom_site_fract_x
_atom_site_fract_y
_atom_site_fract_z
_atom_site_occupancy
La1 0.000 0.000 0.000 1
As1 0.000 0.000 0.500 1
Br1 0.249 0.250 0.125 1



[6]
# GGA-PBE Pr3Nd2DyY6, optimized geometry
# DFT formation energy   0.011 eV/atom
# Fermi-level density of states   29.55 states/eV/cell
data_Pr3Nd2DyY6
_symmetry_space_group_name_H-M 'C 1 2/m 1'
_symmetry_Int_Tables_number 12
_cell_length_a 6.290
_cell_length_b 10.891
_cell_length_c 11.916
_cell_angle_alpha 90.00
_cell_angle_beta 100.10
_cell_angle_gamma 90.00
loop_
_symmetry_equiv_pos_as_xyz
'x,y,z'
'-x,-y,-z'
'-x,y,-z'
'x,-y,z'
'x+1/2,y+1/2,z'
'-x+1/2,-y+1/2,-z'
'-x+1/2,y+1/2,-z'
'x+1/2,-y+1/2,z'
loop_
_atom_site_label
_atom_site_fract_x
_atom_site_fract_y
_atom_site_fract_z
_atom_site_occupancy
Pr1 0.000 0.000 0.000 1
Pr2 0.000 0.333 0.000 1
Nd1 0.000 0.166 0.500 1
Dy1 0.000 0.500 0.500 1
Y1 0.249 0.334 0.748 1
Y2 0.250 0.000 0.749 1